Cs2CaNpF6 | PBE | relaxed

Cell: 6.6250 6.8460 9.3308 Å, 90.00 90.00 90.00°
Each line ends with the local moment (μB).
Atoms (fractional coordinates):
1 F 0.7543 0.0097 0.5000  0.00
2 F 0.0000 0.7790 0.2465  0.00
3 F 0.5000 0.2210 0.2535  0.00
4 F 0.2457 0.0097 0.5000  0.00
5 F 0.7360 0.4869 0.5000  -0.01
6 F 0.7457 0.9903 0.0000  0.00
7 F 0.7640 0.5131 0.0000  -0.01
8 F 0.5000 0.2210 0.7465  0.00
9 F 0.2543 0.9903 0.0000  0.00
10 F 0.2360 0.5131 0.0000  -0.01
11 F 0.0000 0.7790 0.7535  0.00
12 F 0.2640 0.4869 0.5000  -0.01
13 Ca 0.0000 0.7631 0.0000  0.01
14 Ca 0.5000 0.2369 0.5000  0.01
15 Cs 0.5000 0.7740 0.7519  0.02
16 Cs 0.5000 0.7740 0.2481  0.02
17 Cs 0.0000 0.2260 0.7481  0.02
18 Cs 0.0000 0.2260 0.2519  0.02
19 Np 0.5000 0.2891 0.0000  4.48
20 Np 0.0000 0.7109 0.5000  4.48

Summary:
For the total energy, the calculation gives -5.835 eV per atom. For the total magnetization, the calculation gives 4.87 μB per formula unit. The space group is Pmmn, No. 59. As for the crystal system: orthorhombic. The calculation puts the uncorrected formation energy at -3.0476 eV/atom.

Cs2Ca3NpF12 | PBE | relaxed

Cell: 8.4960 8.4960 8.4960 Å, 57.66 57.66 57.66°
Each line ends with the local moment (μB).
Atoms (fractional coordinates):
1 F 0.3251 0.9162 0.3251  0.00
2 F 0.0661 0.6913 0.0661  -0.02
3 F 0.3087 0.9339 0.9339  -0.02
4 F 0.6749 0.0838 0.6749  0.00
5 F 0.9339 0.3087 0.9339  -0.02
6 F 0.9339 0.9339 0.3087  -0.02
7 F 0.3251 0.3251 0.9162  0.00
8 F 0.6749 0.6749 0.0838  0.00
9 F 0.0661 0.0661 0.6913  -0.02
10 F 0.6913 0.0661 0.0661  -0.02
11 F 0.0838 0.6749 0.6749  0.00
12 F 0.9162 0.3251 0.3251  0.00
13 Cs 0.4094 0.4094 0.4094  0.00
14 Cs 0.5906 0.5906 0.5906  0.00
15 Ca 0.0000 0.0000 0.5000  0.00
16 Ca 0.5000 0.0000 0.0000  0.00
17 Ca 0.0000 0.5000 0.0000  0.00
18 Np 0.0000 0.0000 0.0000  3.07

Summary:
For the total energy, the calculation gives -5.922 eV per atom. For the total magnetization, the calculation gives 3.00 μB per formula unit. The space group is R-3m, No. 166. As for the crystal system: trigonal. The calculation puts the uncorrected formation energy at -3.5270 eV/atom.

CsCaOF2 | PBE | relaxed

Cell: 5.1263 5.1263 4.6484 Å, 90.00 90.00 90.00°
Atoms (fractional coordinates):
1 O 0.0000 0.0000 0.5000
2 F 0.5000 0.0000 0.0000
3 F 0.0000 0.5000 0.0000
4 Cs 0.0000 0.0000 0.0000
5 Ca 0.5000 0.5000 0.5000

Summary:
For the total energy, the calculation gives -3.752 eV per atom. For the total magnetization, the calculation gives 0.00 μB per formula unit. The space group is P4/mmm, No. 123. As for the crystal system: tetragonal. The calculation puts the uncorrected formation energy at -1.4410 eV/atom.

CsCaO2F | PBE | relaxed

Cell: 4.3695 6.1196 4.3695 Å, 90.00 90.00 90.00°
Atoms (fractional coordinates):
1 F 0.5000 0.5000 0.5000
2 O 0.0000 0.0000 0.5000
3 O 0.5000 0.0000 0.0000
4 Ca 0.0000 0.5000 0.0000
5 Cs 0.0000 0.0000 0.0000

Summary:
For the total energy, the calculation gives -3.340 eV per atom. For the total magnetization, the calculation gives 0.00 μB per formula unit. The space group is P4/mmm, No. 123. As for the crystal system: tetragonal. The calculation puts the uncorrected formation energy at -0.4116 eV/atom.

CsCaOF2 | PBE | relaxed

Cell: 4.5350 4.5350 4.7929 Å, 90.00 90.00 90.00°
Each line ends with the local moment (μB).
Atoms (fractional coordinates):
1 Ca 0.0000 0.0000 0.0000  -0.01
2 F 0.0000 0.5000 0.0000  0.01
3 F 0.5000 0.0000 0.0000  0.01
4 Cs 0.5000 0.5000 0.5000  0.03
5 O 0.0000 0.0000 0.5000  0.74

Summary:
For the total energy, the calculation gives -4.946 eV per atom. For the total magnetization, the calculation gives 1.00 μB per formula unit. The space group is P4/mmm, No. 123. As for the crystal system: tetragonal. The calculation puts the uncorrected formation energy at -2.6348 eV/atom.

CsCaO2F | PBE | relaxed

Cell: 4.5726 4.5726 5.0783 Å, 90.00 90.00 90.00°
Atoms (fractional coordinates):
1 F 0.0000 0.0000 0.5000
2 Ca 0.5000 0.5000 0.5000
3 Cs 0.0000 0.0000 0.0000
4 O 0.0000 0.5000 0.0000
5 O 0.5000 0.0000 0.0000

Summary:
For the total energy, the calculation gives -3.846 eV per atom. For the total magnetization, the calculation gives 0.00 μB per formula unit. The space group is P4/mmm, No. 123. As for the crystal system: tetragonal. The calculation puts the uncorrected formation energy at -0.9170 eV/atom.

CsCaO2F | PBE | relaxed

Cell: 4.6831 4.6831 4.6032 Å, 90.00 90.00 90.00°
Each line ends with the local moment (μB).
Atoms (fractional coordinates):
1 F 0.0000 0.0000 0.5000  0.02
2 Cs 0.5000 0.5000 0.5000  0.03
3 Ca 0.0000 0.0000 0.0000  -0.02
4 O 0.5000 0.0000 0.0000  0.77
5 O 0.0000 0.5000 0.0000  0.77

Summary:
For the total energy, the calculation gives -4.758 eV per atom. For the total magnetization, the calculation gives 2.00 μB per formula unit. The space group is P4/mmm, No. 123. As for the crystal system: tetragonal. The calculation puts the uncorrected formation energy at -1.8298 eV/atom.

Cs2CaPF6 | PBE | relaxed

Cell: 6.0132 6.0132 7.1689 Å, 65.20 65.20 90.00°
Each line ends with the local moment (μB).
Atoms (fractional coordinates):
1 Ca 0.0000 0.0000 0.0000  0.00
2 F 0.7291 0.2709 0.0000  0.03
3 F 0.8088 0.8088 0.3824  0.01
4 F 0.1912 0.1912 0.6176  0.01
5 F 0.2709 0.7291 0.0000  0.03
6 F 0.2709 0.2709 0.0000  0.03
7 F 0.7291 0.7291 0.0000  0.03
8 Cs 0.2500 0.7500 0.5000  0.00
9 Cs 0.7500 0.2500 0.5000  0.00
10 P 0.5000 0.5000 0.0000  0.38

Summary:
For the total energy, the calculation gives -4.718 eV per atom. For the total magnetization, the calculation gives 1.00 μB per formula unit. The space group is I4/mmm, No. 139. As for the crystal system: tetragonal. The calculation puts the uncorrected formation energy at -2.6834 eV/atom.

The highest total magnetization belongs to which entry? Cs2CaNpF6